Crystalline Pm3Al3Rh2 at its relaxed geometry, computed with PBE-GGA.

Energy of formation in eV/atom: -0.690
VASP energy in eV per atom: -5.712
Magnetic moment in μB/f.u.: 0.000

a = 5.801 Å, b = 7.975 Å, c = 15.324 Å
α = 90.00°, β = 90.00°, γ = 90.00°
Fractional positions:
1 Pm 0.103 0.471 0.391
2 Pm 0.603 0.029 0.609
3 Pm 0.897 0.529 0.891
4 Pm 0.397 0.971 0.109
5 Pm 0.897 0.529 0.609
6 Pm 0.397 0.971 0.391
7 Pm 0.103 0.471 0.109
8 Pm 0.603 0.029 0.891
9 Pm 0.611 0.337 0.250
10 Pm 0.111 0.163 0.750
11 Pm 0.389 0.663 0.750
12 Pm 0.889 0.837 0.250
13 Al 0.101 0.181 0.250
14 Al 0.601 0.319 0.750
15 Al 0.899 0.819 0.750
16 Al 0.399 0.681 0.250
17 Al 0.592 0.340 0.464
18 Al 0.092 0.160 0.536
19 Al 0.408 0.660 0.964
20 Al 0.908 0.840 0.036
21 Al 0.408 0.660 0.536
22 Al 0.908 0.840 0.464
23 Al 0.592 0.340 0.036
24 Al 0.092 0.160 0.964
25 Rh 0.866 0.131 0.395
26 Rh 0.366 0.369 0.605
27 Rh 0.134 0.869 0.895
28 Rh 0.634 0.631 0.105
29 Rh 0.134 0.869 0.605
30 Rh 0.634 0.631 0.395
31 Rh 0.866 0.131 0.105
32 Rh 0.366 0.369 0.895


Crystalline PmAlRh at its relaxed geometry, computed with PBE-GGA.

Energy of formation in eV/atom: -0.640
Distance to the lowest polymorph of the same formula in meV per atom: 188
VASP energy in eV per atom: -5.922
Magnetic moment in μB/f.u.: 0.000

a = 3.247 Å, b = 3.247 Å, c = 6.089 Å
α = 105.46°, β = 105.46°, γ = 90.00°
Fractional positions:
1 Rh 0.694 0.694 0.388
2 Al 0.296 0.296 0.593
3 Pm 0.010 0.010 0.019


Crystalline PmAl4Rh at its relaxed geometry, computed with PBE-GGA.

Energy of formation in eV/atom: -0.394
Distance to the lowest polymorph of the same formula in meV per atom: 286
VASP energy in eV per atom: -4.906
Magnetic moment in μB/f.u.: 0.000

a = 5.822 Å, b = 5.822 Å, c = 8.439 Å
α = 69.84°, β = 69.84°, γ = 89.97°
Fractional positions:
1 Pm 0.500 0.500 0.000
2 Pm 0.000 0.000 0.000
3 Al 0.029 0.154 0.317
4 Al 0.154 0.654 0.317
5 Al 0.529 0.029 0.317
6 Al 0.471 0.971 0.683
7 Al 0.846 0.346 0.683
8 Al 0.971 0.846 0.683
9 Al 0.346 0.471 0.683
10 Al 0.654 0.529 0.317
11 Rh 0.750 0.750 0.500
12 Rh 0.250 0.250 0.500


Crystalline Pm2Al3Rh2 at its relaxed geometry, computed with PBE-GGA.

Energy of formation in eV/atom: -0.799
VASP energy in eV per atom: -5.861
Magnetic moment in μB/f.u.: 0.000

a = 4.160 Å, b = 5.612 Å, c = 7.220 Å
α = 114.19°, β = 90.00°, γ = 111.76°
Fractional positions:
1 Pm 0.858 0.716 0.229
2 Pm 0.142 0.284 0.771
3 Al 0.500 0.000 0.000
4 Al 0.643 0.287 0.438
5 Al 0.357 0.713 0.562
6 Rh 0.869 0.738 0.789
7 Rh 0.131 0.262 0.211


Crystalline Pm8Al2Rh at its relaxed geometry, computed with PBE-GGA.

Energy of formation in eV/atom: -0.238
Distance to the lowest polymorph of the same formula in meV per atom: 20
VASP energy in eV per atom: -5.041
Magnetic moment in μB/f.u.: 0.000

a = 5.464 Å, b = 7.009 Å, c = 9.302 Å
α = 112.12°, β = 107.08°, γ = 90.00°
Fractional positions:
1 Pm 0.630 0.867 0.260
2 Pm 0.370 0.607 0.740
3 Pm 0.196 0.196 0.392
4 Pm 0.000 0.253 0.000
5 Pm 0.804 0.804 0.608
6 Pm 0.630 0.393 0.260
7 Pm 0.370 0.133 0.740
8 Pm 0.000 0.747 0.000
9 Al 0.185 0.685 0.369
10 Al 0.815 0.315 0.631
11 Rh 0.500 0.000 0.000


Crystalline PmAlRh at its relaxed geometry, computed with PBE-GGA.

Energy of formation in eV/atom: -0.551
Distance to the lowest polymorph of the same formula in meV per atom: 278
VASP energy in eV per atom: -5.833
Magnetic moment in μB/f.u.: 0.000

a = 4.605 Å, b = 4.605 Å, c = 4.605 Å
α = 60.00°, β = 60.00°, γ = 60.00°
Fractional positions:
1 Rh 0.250 0.250 0.250
2 Al 0.000 0.000 0.000
3 Pm 0.500 0.500 0.500


Crystalline Pm3AlRh at its relaxed geometry, computed with PBE-GGA.

Energy of formation in eV/atom: -0.370
VASP energy in eV per atom: -5.439
Magnetic moment in μB/f.u.: 0.000

a = 6.794 Å, b = 6.794 Å, c = 7.420 Å
α = 111.47°, β = 111.85°, γ = 101.17°
Fractional positions:
1 Pm 0.827 0.034 0.264
2 Pm 0.230 0.437 0.264
3 Pm 0.770 0.563 0.736
4 Pm 0.709 0.467 0.176
5 Pm 0.173 0.966 0.736
6 Pm 0.291 0.533 0.824
7 Al 0.728 0.073 0.801
8 Al 0.272 0.927 0.199
9 Rh 0.594 0.812 0.406
10 Rh 0.406 0.188 0.594


Crystalline Pm8AlRh2 at its relaxed geometry, computed with PBE-GGA.

Energy of formation in eV/atom: -0.266
VASP energy in eV per atom: -5.398
Magnetic moment in μB/f.u.: 0.000

a = 5.566 Å, b = 8.139 Å, c = 8.139 Å
α = 114.83°, β = 98.21°, γ = 98.21°
Fractional positions:
1 Pm 0.562 0.330 0.083
2 Pm 0.562 0.083 0.330
3 Pm 0.188 0.390 0.390
4 Pm 0.000 0.246 0.760
5 Pm 0.000 0.760 0.246
6 Pm 0.812 0.615 0.615
7 Pm 0.438 0.923 0.676
8 Pm 0.438 0.676 0.923
9 Al 0.000 0.003 0.003
10 Rh 0.500 0.707 0.300
11 Rh 0.500 0.300 0.707


Crystalline PmAlRh at its relaxed geometry, computed with PBE-GGA.

Energy of formation in eV/atom: -0.692
Distance to the lowest polymorph of the same formula in meV per atom: 136
VASP energy in eV per atom: -5.974
Magnetic moment in μB/f.u.: 0.000

a = 4.017 Å, b = 4.317 Å, c = 4.317 Å
α = 120.00°, β = 90.00°, γ = 90.00°
Fractional positions:
1 Rh 0.167 0.667 0.333
2 Al 0.167 0.000 0.000
3 Pm 0.667 0.333 0.667


Crystalline PmAl4Rh at its relaxed geometry, computed with PBE-GGA.

Energy of formation in eV/atom: -0.680
Distance to the lowest polymorph of the same formula in meV per atom: 0
VASP energy in eV per atom: -5.192
Magnetic moment in μB/f.u.: 0.000

a = 4.133 Å, b = 6.962 Å, c = 7.770 Å
α = 90.00°, β = 90.00°, γ = 90.00°
Fractional positions:
1 Pm 0.000 0.624 0.750
2 Pm 0.000 0.376 0.250
3 Al 0.000 0.000 0.500
4 Al 0.000 0.000 0.000
5 Al 0.500 0.956 0.750
6 Al 0.500 0.044 0.250
7 Al 0.500 0.692 0.064
8 Al 0.500 0.308 0.936
9 Al 0.500 0.692 0.436
10 Al 0.500 0.308 0.564
11 Rh 0.000 0.195 0.750
12 Rh 0.000 0.805 0.250


Crystalline Pm2AlRh at its relaxed geometry, computed with PBE-GGA.

Energy of formation in eV/atom: -0.521
VASP energy in eV per atom: -5.670
Magnetic moment in μB/f.u.: 0.000

a = 3.662 Å, b = 3.662 Å, c = 7.005 Å
α = 90.00°, β = 90.00°, γ = 90.00°
Fractional positions:
1 Rh 0.500 0.500 0.000
2 Al 0.500 0.500 0.500
3 Pm 0.000 0.000 0.766
4 Pm 0.000 0.000 0.234


Crystalline Pm2Al3Rh at its relaxed geometry, computed with PBE-GGA.

Energy of formation in eV/atom: -0.651
Distance to the lowest polymorph of the same formula in meV per atom: 12
VASP energy in eV per atom: -5.331
Magnetic moment in μB/f.u.: 0.000

a = 5.598 Å, b = 5.598 Å, c = 5.505 Å
α = 89.99°, β = 120.62°, γ = 119.95°
Fractional positions:
1 Pm 0.750 0.375 0.125
2 Pm 0.250 0.625 0.875
3 Al 0.500 0.500 0.500
4 Al 0.000 0.000 0.500
5 Al 0.500 0.000 0.500
6 Rh 0.000 0.000 0.000